1) Here is a relaxed AlTc2N crystal from Alexandria. Energies are from PBE.

Cell and atoms, written as POSCAR:
```
AlTc2N
1.0
3.135 0.000 0.000
-1.567 2.715 0.000
0.000 0.000 18.921
Al Tc N
3 6 3
Direct
0.000 0.000 0.000
0.333 0.667 0.667
0.667 0.333 0.333
0.000 0.000 0.220
0.000 0.000 0.780
0.333 0.667 0.447
0.333 0.667 0.886
0.667 0.333 0.114
0.667 0.333 0.553
0.000 0.000 0.500
0.333 0.667 0.167
0.667 0.333 0.833
```

---

2) Here is a relaxed AlTc2N crystal from Alexandria. Energies are from PBE.

Cell and atoms, written as POSCAR:
```
AlTc2N
1.0
5.845 0.000 0.000
0.000 5.845 0.000
0.000 0.000 5.845
Al Tc N
4 8 4
Direct
0.000 0.000 0.000
0.000 0.500 0.500
0.500 0.000 0.500
0.500 0.500 0.000
0.250 0.250 0.250
0.250 0.250 0.750
0.250 0.750 0.250
0.250 0.750 0.750
0.750 0.250 0.250
0.750 0.250 0.750
0.750 0.750 0.250
0.750 0.750 0.750
0.000 0.000 0.500
0.000 0.500 0.000
0.500 0.000 0.000
0.500 0.500 0.500
```

---

3) Here is a relaxed AlTc2N crystal from Alexandria. Energies are from PBE.

Cell and atoms, written as POSCAR:
```
AlTc2N
1.0
6.719 0.000 0.000
0.000 6.719 0.000
0.000 0.000 4.641
Al Tc N
4 8 4
Direct
0.000 0.000 0.000
0.000 0.500 0.250
0.500 0.000 0.750
0.500 0.500 0.500
0.141 0.750 0.625
0.250 0.141 0.375
0.250 0.359 0.875
0.359 0.750 0.125
0.641 0.250 0.125
0.750 0.641 0.875
0.750 0.859 0.375
0.859 0.250 0.625
0.000 0.000 0.500
0.000 0.500 0.750
0.500 0.000 0.250
0.500 0.500 0.000
```

---

Which structure is most stable, and how do the rest compare? From most to least stable: 3), 1), 2).

---

1) Here is a relaxed Al3TeN crystal from Alexandria. Energies are from PBE.

Cell and atoms, written as POSCAR:
```
Al3TeN
1.0
5.324 0.000 0.000
0.000 5.324 0.000
0.000 0.000 5.324
Al Te N
3 1 1
Direct
0.000 0.000 0.500
0.000 0.500 0.000
0.500 0.000 0.000
0.000 0.000 0.000
0.500 0.500 0.500
```

---

2) Here is a relaxed Al3TeN crystal from Alexandria. Energies are from PBE.

Cell and atoms, written as POSCAR:
```
Al3TeN
1.0
4.391 0.000 0.000
0.000 4.391 0.000
0.000 0.000 4.391
Al Te N
3 1 1
Direct
0.000 0.000 0.500
0.000 0.500 0.000
0.500 0.000 0.000
0.500 0.500 0.500
0.000 0.000 0.000
```

---

Which structure is most stable, and how do the rest compare? From most to least stable: 2), 1).

---

1) Here is a relaxed Al2TeN crystal from Alexandria. Energies are from PBE.

Cell and atoms, written as POSCAR:
```
Al2TeN
1.0
6.437 0.000 0.000
0.000 6.437 0.000
0.000 0.000 6.437
Al Te N
8 4 4
Direct
0.250 0.250 0.250
0.250 0.250 0.750
0.250 0.750 0.250
0.250 0.750 0.750
0.750 0.250 0.250
0.750 0.250 0.750
0.750 0.750 0.250
0.750 0.750 0.750
0.000 0.000 0.000
0.000 0.500 0.500
0.500 0.000 0.500
0.500 0.500 0.000
0.000 0.000 0.500
0.000 0.500 0.000
0.500 0.000 0.000
0.500 0.500 0.500
```

---

2) Here is a relaxed Al2TeN crystal from Alexandria. Energies are from PBE.

Cell and atoms, written as POSCAR:
```
Al2TeN
1.0
5.284 0.000 0.000
0.000 5.284 0.000
0.000 0.000 10.407
Al Te N
8 4 4
Direct
0.116 0.250 0.125
0.250 0.616 0.375
0.250 0.884 0.875
0.384 0.250 0.625
0.616 0.750 0.625
0.750 0.116 0.875
0.750 0.384 0.375
0.884 0.750 0.125
0.000 0.000 0.500
0.000 0.500 0.750
0.500 0.000 0.250
0.500 0.500 0.000
0.000 0.000 0.000
0.000 0.500 0.250
0.500 0.000 0.750
0.500 0.500 0.500
```

---

Which structure is most stable, and how do the rest compare? From most to least stable: 2), 1).

---

1) Here is a relaxed AlTe2N2 crystal from Alexandria. Energies are from PBE.

Cell and atoms, written as POSCAR:
```
AlTe2N2
1.0
4.067 0.000 0.000
0.000 4.067 0.000
0.000 0.000 6.115
Al Te N
1 2 2
Direct
0.000 0.000 0.000
0.000 0.000 0.500
0.500 0.500 0.500
0.000 0.500 0.000
0.500 0.000 0.000
```

---

2) Here is a relaxed AlTe2N2 crystal from Alexandria. Energies are from PBE.

Cell and atoms, written as POSCAR:
```
AlTe2N2
1.0
5.671 0.000 0.000
0.000 5.671 0.000
0.000 0.000 3.418
Al Te N
1 2 2
Direct
0.000 0.000 0.000
0.000 0.500 0.000
0.500 0.000 0.000
0.000 0.000 0.500
0.500 0.500 0.500
```

---

3) Here is a relaxed AlTe2N2 crystal from Alexandria. Energies are from PBE.

Cell and atoms, written as POSCAR:
```
AlTe2N2
1.0
4.598 0.000 0.000
0.000 4.598 0.000
0.000 0.000 4.062
Al Te N
1 2 2
Direct
0.000 0.000 0.000
0.000 0.500 0.500
0.500 0.000 0.500
0.500 0.500 0.000
0.500 0.500 0.500
```

---

Which structure is most stable, and how do the rest compare? From most to least stable: 1), 2), 3).

---

1) Here is a relaxed AlTeN2 crystal from Alexandria. Energies are from PBE.

Cell and atoms, written as POSCAR:
```
AlTeN2
1.0
5.089 0.000 0.000
0.000 5.089 0.000
0.000 0.000 8.896
Al Te N
4 4 8
Direct
0.000 0.000 0.000
0.000 0.500 0.250
0.500 0.000 0.750
0.500 0.500 0.500
0.000 0.000 0.500
0.000 0.500 0.750
0.500 0.000 0.250
0.500 0.500 0.000
0.166 0.250 0.125
0.250 0.666 0.375
0.250 0.834 0.875
0.334 0.250 0.625
0.666 0.750 0.625
0.750 0.166 0.875
0.750 0.334 0.375
0.834 0.750 0.125
```

---

2) Here is a relaxed AlTeN2 crystal from Alexandria. Energies are from PBE.

Cell and atoms, written as POSCAR:
```
AlTeN2
1.0
3.499 0.000 0.000
-1.749 3.030 0.000
0.000 0.000 17.844
Al Te N
3 3 6
Direct
0.000 0.000 0.000
0.333 0.667 0.667
0.667 0.333 0.333
0.000 0.000 0.500
0.333 0.667 0.167
0.667 0.333 0.833
0.000 0.000 0.102
0.000 0.000 0.898
0.333 0.667 0.565
0.333 0.667 0.769
0.667 0.333 0.231
0.667 0.333 0.435
```

---

Which structure is most stable, and how do the rest compare? From most to least stable: 1), 2).

---

1) Here is a relaxed AlTeN2 crystal from Alexandria. Energies are from PBE.

Cell and atoms, written as POSCAR:
```
AlTeN2
1.0
3.135 0.000 0.000
-1.568 2.715 0.000
0.000 0.000 18.200
Al Te N
3 3 6
Direct
0.000 0.000 0.000
0.333 0.667 0.667
0.667 0.333 0.333
0.000 0.000 0.500
0.333 0.667 0.167
0.667 0.333 0.833
0.000 0.000 0.387
0.000 0.000 0.613
0.333 0.667 0.053
0.333 0.667 0.280
0.667 0.333 0.720
0.667 0.333 0.947
```

---

2) Here is a relaxed AlTeN2 crystal from Alexandria. Energies are from PBE.

Cell and atoms, written as POSCAR:
```
AlTeN2
1.0
5.777 0.000 0.000
0.000 5.777 0.000
0.000 0.000 5.777
Al Te N
4 4 8
Direct
0.000 0.000 0.000
0.000 0.500 0.500
0.500 0.000 0.500
0.500 0.500 0.000
0.000 0.000 0.500
0.000 0.500 0.000
0.500 0.000 0.000
0.500 0.500 0.500
0.250 0.250 0.250
0.250 0.250 0.750
0.250 0.750 0.250
0.250 0.750 0.750
0.750 0.250 0.250
0.750 0.250 0.750
0.750 0.750 0.250
0.750 0.750 0.750
```

---

Which structure is most stable, and how do the rest compare? From most to least stable: 1), 2).

---

1) Here is a relaxed TiAlTe2N crystal from Alexandria. Energies are from PBE.

Cell and atoms, written as POSCAR:
```
TiAlTe2N
1.0
5.578 0.000 0.000
0.000 5.578 0.000
0.000 0.000 3.727
Ti Al Te N
1 1 2 1
Direct
0.000 0.000 0.000
0.500 0.500 0.500
0.000 0.500 0.000
0.500 0.000 0.000
0.000 0.000 0.500
```

---

2) Here is a relaxed TiAlTe2N crystal from Alexandria. Energies are from PBE.

Cell and atoms, written as POSCAR:
```
TiAlTe2N
1.0
5.495 0.000 0.000
0.000 5.495 0.000
0.000 0.000 3.487
Ti Al Te N
1 1 2 1
Direct
0.000 0.000 0.000
0.500 0.500 0.500
0.000 0.500 0.500
0.500 0.000 0.500
0.500 0.500 0.000
```

---

Which structure is most stable, and how do the rest compare? From most to least stable: 1), 2).

---

1) Here is a relaxed AlTlTe2N crystal from Alexandria. Energies are from PBE.

Cell and atoms, written as POSCAR:
```
AlTlTe2N
1.0
5.961 0.000 0.000
0.000 5.961 0.000
0.000 0.000 4.247
Al Tl Te N
1 1 2 1
Direct
0.000 0.000 0.000
0.500 0.500 0.500
0.000 0.500 0.500
0.500 0.000 0.500
0.500 0.500 0.000
```

---

2) Here is a relaxed AlTlTe2N crystal from Alexandria. Energies are from PBE.

Cell and atoms, written as POSCAR:
```
AlTlTe2N
1.0
6.013 0.000 0.000
0.000 6.013 0.000
0.000 0.000 3.473
Al Tl Te N
1 1 2 1
Direct
0.000 0.000 0.000
0.500 0.500 0.500
0.000 0.500 0.000
0.500 0.000 0.000
0.000 0.000 0.500
```

---

Which structure is most stable, and how do the rest compare? From most to least stable: 2), 1).

---

1) Here is a relaxed AlTlTeN2 crystal from Alexandria. Energies are from PBE.

Cell and atoms, written as POSCAR:
```
AlTlTeN2
1.0
4.353 0.000 0.000
0.000 4.353 0.000
0.000 0.000 6.457
Al Tl Te N
1 1 1 2
Direct
0.000 0.000 0.000
0.500 0.500 0.500
0.500 0.500 0.000
0.000 0.500 0.500
0.500 0.000 0.500
```

---

2) Here is a relaxed AlTlTeN2 crystal from Alexandria. Energies are from PBE.

Cell and atoms, written as POSCAR:
```
AlTlTeN2
1.0
4.057 0.000 0.000
0.000 4.057 0.000
0.000 0.000 5.778
Al Tl Te N
1 1 1 2
Direct
0.000 0.000 0.000
0.500 0.500 0.500
0.000 0.000 0.500
0.000 0.500 0.000
0.500 0.000 0.000
```

---

Which structure is most stable, and how do the rest compare? From most to least stable: 2), 1).

---

1) Here is a relaxed AlZnTeN2 crystal from Alexandria. Energies are from PBE.

Cell and atoms, written as POSCAR:
```
AlZnTeN2
1.0
3.983 0.000 0.000
0.000 3.983 0.000
0.000 0.000 6.038
Al Zn Te N
1 1 1 2
Direct
0.000 0.000 0.000
0.500 0.500 0.500
0.500 0.500 0.000
0.000 0.500 0.500
0.500 0.000 0.500
```

---

2) Here is a relaxed AlZnTeN2 crystal from Alexandria. Energies are from PBE.

Cell and atoms, written as POSCAR:
```
AlZnTeN2
1.0
3.765 0.000 0.000
0.000 3.765 0.000
0.000 0.000 6.227
Al Zn Te N
1 1 1 2
Direct
0.000 0.000 0.000
0.500 0.500 0.500
0.000 0.000 0.500
0.000 0.500 0.000
0.500 0.000 0.000
```

---

Which structure is most stable, and how do the rest compare? From most to least stable: 2), 1).

---

1) Here is a relaxed ZrAlTeN2 crystal from Alexandria. Energies are from PBE.

Cell and atoms, written as POSCAR:
```
ZrAlTeN2
1.0
4.150 0.000 0.000
0.000 4.150 0.000
0.000 0.000 6.095
Zr Al Te N
1 1 1 2
Direct
0.000 0.000 0.000
0.500 0.500 0.500
0.000 0.000 0.500
0.000 0.500 0.000
0.500 0.000 0.000
```

---

2) Here is a relaxed ZrAlTeN2 crystal from Alexandria. Energies are from PBE.

Cell and atoms, written as POSCAR:
```
ZrAlTeN2
1.0
3.938 0.000 0.000
0.000 3.938 0.000
0.000 0.000 5.299
Zr Al Te N
1 1 1 2
Direct
0.000 0.000 0.000
0.500 0.500 0.500
0.500 0.500 0.000
0.000 0.500 0.500
0.500 0.000 0.500
```

---

Which structure is most stable, and how do the rest compare? From most to least stable: 1), 2).

---

1) Here is a relaxed ZrAlTe2N crystal from Alexandria. Energies are from PBE.

Cell and atoms, written as POSCAR:
```
ZrAlTe2N
1.0
5.499 0.000 0.000
0.000 5.499 0.000
0.000 0.000 3.536
Zr Al Te N
1 1 2 1
Direct
0.000 0.000 0.000
0.500 0.500 0.500
0.000 0.500 0.500
0.500 0.000 0.500
0.500 0.500 0.000
```

---

2) Here is a relaxed ZrAlTe2N crystal from Alexandria. Energies are from PBE.

Cell and atoms, written as POSCAR:
```
ZrAlTe2N
1.0
5.806 0.000 0.000
0.000 5.806 0.000
0.000 0.000 4.022
Zr Al Te N
1 1 2 1
Direct
0.000 0.000 0.000
0.500 0.500 0.500
0.000 0.500 0.000
0.500 0.000 0.000
0.000 0.000 0.500
```

---

Which structure is most stable, and how do the rest compare? From most to least stable: 1), 2).